1.
A plane-wave DFT calculation with GGA-PBE was carried out for a geometry-optimized CdAgIrC2 structure.

The value obtained for the size of the total moment is 0.00 μB per atom. Its volume is 87 Å³ per cell. The density of states at the Fermi level comes out at 2.17 states/eV/f.u. The formation enthalpy at 0 K is 114.3 kJ per mole of atoms.

It has space group P4/mmm (No. 123), with a = 3.913 Å, b = 3.913 Å, c = 5.700 Å, α = 90.00°, β = 90.00° and γ = 90.00°. Symmetry generates all atoms from Cd at (0.000, 0.000, 0.000), Ag at (0.500, 0.500, 0.000), Ir at (0.500, 0.500, 0.500) and C at (0.000, 0.500, 0.500).



2.
A plane-wave DFT calculation with GGA-PBE was carried out for a geometry-optimized PmCF structure.

The calculation puts the relative energy among the computed polymorphs at 0.0 meV per atom. The value obtained for the size of the total moment is 0.00 μB per atom. Its volume is 187 Å³ per cell. The density of states at the Fermi level comes out at 1.09 states/eV/f.u.

It has space group C2/m (No. 12), with a = 7.250 Å, b = 3.833 Å, c = 6.809 Å, α = 90.00°, β = 98.98° and γ = 90.00°. Symmetry generates all atoms from Pm at (0.167, 0.000, 0.227), C at (0.068, 0.500, 0.944) and F at (0.183, 0.000, 0.600).



3.
A plane-wave DFT calculation with GGA-PBE was carried out for a geometry-optimized FeSi2Pt structure.

The value obtained for the size of the total moment is 0.00 μB per atom. The total DFT energy (no corrections) comes out at -6.209 eV per atom. Its volume is 293 Å³ per cell. The density of states at the Fermi level comes out at 2.46 states/eV/f.u.

It has space group I-42d (No. 122), with a = 5.289 Å, b = 5.289 Å, c = 10.465 Å, α = 90.00°, β = 90.00° and γ = 90.00°. Symmetry generates all atoms from Fe at (0.000, 0.000, 0.000), Si at (0.228, 0.250, 0.125) and Pt at (0.000, 0.000, 0.500).



4.
A plane-wave DFT calculation with GGA-PBE was carried out for a geometry-optimized LiCo2Re structure.

The calculation puts the relative energy among the computed polymorphs at 90.0 meV per atom. The value obtained for the size of the total moment is 0.61 μB per atom. Its volume is 155 Å³ per cell. The density of states at the Fermi level comes out at 4.45 states/eV/f.u. The formation enthalpy at 0 K is 23.0 kJ per mole of atoms.

It has space group R-3m (No. 166, hexagonal axes), with a = 2.6493 Å, b = 2.6493 Å, c = 25.5767 Å, α = 90.00°, β = 90.00° and γ = 120.00°. Symmetry generates all atoms from Li at (0.0000, 0.0000, 0.0000), Co at (0.0000, 0.0000, 0.2477) and Re at (0.0000, 0.0000, 0.5000).



5.
A plane-wave DFT calculation with GGA-PBE was carried out for a geometry-optimized YHo4Cd structure.

The calculation puts the relative energy among the computed polymorphs at 0.0 meV per atom. The value obtained for the size of the total moment is 0.00 μB per atom. Its volume is 178 Å³ per cell. The density of states at the Fermi level comes out at 8.64 states/eV/f.u. The formation enthalpy at 0 K is -8.4 kJ per mole of atoms.

It has space group P4/mmm (No. 123), with a = 3.547 Å, b = 3.547 Å, c = 14.128 Å, α = 90.00°, β = 90.00° and γ = 90.00°. Symmetry generates all atoms from Y at (0.000, 0.000, 0.000), Ho at (0.000, 0.000, 0.353), Ho at (0.500, 0.500, 0.178) and Cd at (0.500, 0.500, 0.500).



6.
A plane-wave DFT calculation with GGA-PBE was carried out for a geometry-optimized Ba2ZrSe structure.

The value obtained for the size of the total moment is 0.92 μB per atom. The total DFT energy (no corrections) comes out at -3.931 eV per atom. Its volume is 285 Å³ per cell. The density of states at the Fermi level comes out at 3.86 states/eV/f.u.

It has space group I4/mmm (No. 139), with a = 5.509 Å, b = 5.509 Å, c = 9.400 Å, α = 90.00°, β = 90.00° and γ = 90.00°. Symmetry generates all atoms from Ba at (0.000, 0.500, 0.250), Zr at (0.000, 0.000, 0.000) and Se at (0.000, 0.000, 0.500).



7.
A plane-wave DFT calculation with GGA-PBE was carried out for a geometry-optimized AlRu2Rh structure.

The value obtained for the size of the total moment is 0.00 μB per atom. Its volume is 169 Å³ per cell. The density of states at the Fermi level comes out at 4.72 states/eV/f.u. The formation enthalpy at 0 K is -18.8 kJ per mole of atoms.

It has space group R3m (No. 160, hexagonal axes), with a = 2.7687 Å, b = 2.7687 Å, c = 25.4252 Å, α = 90.00°, β = 90.00° and γ = 120.00°. Symmetry generates all atoms from Al at (0.0000, 0.0000, 0.0000), Ru at (0.0000, 0.0000, 0.2499), Ru at (0.0000, 0.0000, 0.5008) and Rh at (0.0000, 0.0000, 0.7457).



8.
A plane-wave DFT calculation with GGA-PBE was carried out for a geometry-optimized SiIrC2S structure.

The value obtained for the size of the total moment is 0.00 μB per atom. The total DFT energy (no corrections) comes out at -6.138 eV per atom. Its volume is 78 Å³ per cell. The density of states at the Fermi level comes out at 2.72 states/eV/f.u.

It has space group P4/mmm (No. 123), with a = 3.822 Å, b = 3.822 Å, c = 5.345 Å, α = 90.00°, β = 90.00° and γ = 90.00°. Symmetry generates all atoms from Si at (0.000, 0.000, 0.000), Ir at (0.000, 0.000, 0.500), C at (0.000, 0.500, 0.500) and S at (0.500, 0.500, 0.000).



9.
A plane-wave DFT calculation with GGA-PBE was carried out for a geometry-optimized TaBe6 structure.

The value obtained for the size of the total moment is 0.00 μB per atom. Its volume is 262 Å³ per cell. The density of states at the Fermi level comes out at 2.90 states/eV/f.u. The formation enthalpy at 0 K is -9.3 kJ per mole of atoms.

It has space group Pnma (No. 62), with a = 6.915 Å, b = 4.352 Å, c = 8.716 Å, α = 90.00°, β = 90.00° and γ = 90.00°. Symmetry generates all atoms from Ta at (0.233, 0.250, 0.062), Be at (0.060, 0.009, 0.312), Be at (0.062, 0.750, 0.102), Be at (0.096, 0.250, 0.523), Be at (0.147, 0.750, 0.853) and Be at (0.198, 0.250, 0.749).



10.
A plane-wave DFT calculation with GGA-PBE was carried out for a geometry-optimized NbFeB2 structure.

The value obtained for the size of the total moment is 0.00 μB per atom. Its volume is 179 Å³ per cell. The density of states at the Fermi level comes out at 2.70 states/eV/f.u. The formation enthalpy at 0 K is 11.3 kJ per mole of atoms.

It has space group I4_1/amd (No. 141, origin choice 2), with a = 3.596 Å, b = 3.596 Å, c = 13.811 Å, α = 90.00°, β = 90.00° and γ = 90.00°. Symmetry generates all atoms from Nb at (0.000, 0.250, 0.375), Fe at (0.000, 0.250, 0.875) and B at (0.000, 0.000, 0.000).



11.
A plane-wave DFT calculation with GGA-PBE was carried out for a geometry-optimized BaLi2Hf3S8 structure.

The value obtained for the size of the total moment is 0.00 μB per atom. The total DFT energy (no corrections) comes out at -6.469 eV per atom. Its volume is 1131 Å³ per cell. The density of states at the Fermi level comes out at 0.00 states/eV/f.u.

It has space group R3m (No. 160, hexagonal axes), with a = 7.4529 Å, b = 7.4529 Å, c = 23.5157 Å, α = 90.00°, β = 90.00° and γ = 120.00°. Symmetry generates all atoms from Ba at (0.0000, 0.0000, 0.0000), Li at (0.0000, 0.0000, 0.4130), Li at (0.0000, 0.0000, 0.8461), Hf at (0.1698, 0.3397, 0.1895), S at (0.0000, 0.0000, 0.1303), S at (0.0000, 0.0000, 0.5853), S at (0.0130, 0.5065, 0.1271) and S at (0.1730, 0.3459, 0.9147).



12.
A plane-wave DFT calculation with GGA-PBE was carried out for a geometry-optimized La2Nd15Sc2 structure.

The value obtained for the size of the total moment is 0.00 μB per atom. Its volume is 2030 Å³ per cell. The density of states at the Fermi level comes out at 33.34 states/eV/f.u. The formation enthalpy at 0 K is 23.3 kJ per mole of atoms.

It has space group R-3m (No. 166, hexagonal axes), with a = 11.4246 Å, b = 11.4246 Å, c = 17.9601 Å, α = 90.00°, β = 90.00° and γ = 120.00°. Symmetry generates all atoms from La at (0.0000, 0.0000, 0.1823), Nd at (0.0000, 0.2899, 0.5000), Nd at (0.0000, 0.5000, 0.0000), Nd at (0.0129, 0.5064, 0.6375) and Sc at (0.0000, 0.0000, 0.4104).